Record 1
A relaxed K2CrAs crystal. Source: the Alexandria database, functional GGA-PBE.

Computed properties:
* Fermi-level density of states: 0.245 states/eV per atom
* size of the total moment: 4.6 μB/f.u.
* SG: Pm
* energy relative to the elements: 0.82 kcal/mol of atoms

a = 4.705 Å, b = 5.565 Å, c = 6.218 Å
α = 63.49°, β = 90.00°, γ = 90.00°
Sites, in units of the cell vectors:
K 0.000 0.969 0.937
K 0.500 0.277 0.322
As 0.000 0.654 0.565
Cr 0.500 0.600 0.676


Record 2
A relaxed Pm5Tm4Zn crystal. Source: the Alexandria database, functional GGA-PBE.

Computed properties:
* Fermi-level density of states: 1.381 states/eV per atom
* size of the total moment: 0.0 μB/f.u.
* SG: P4/mmm
* energy relative to the elements: -0.97 kcal/mol of atoms

a = 3.610 Å, b = 3.610 Å, c = 23.561 Å
α = 90.00°, β = 90.00°, γ = 90.00°
Sites, in units of the cell vectors:
Pm 0.500 0.500 0.710
Pm 0.500 0.500 0.922
Pm 0.500 0.500 0.078
Pm 0.500 0.500 0.290
Pm 0.500 0.500 0.500
Tm 0.000 0.000 0.186
Tm 0.000 0.000 0.395
Tm 0.000 0.000 0.814
Tm 0.000 0.000 0.605
Zn 0.000 0.000 0.000


Record 3
A relaxed LiCd6Ag12 crystal. Source: the Alexandria database, functional GGA-PBE.

Computed properties:
* Fermi-level density of states: 0.275 states/eV per atom
* size of the total moment: 0.0 μB/f.u.
* ΔE to the lowest computed polymorph: 0.00 eV/f.u.
* SG: R-3
* energy relative to the elements: -1.34 kcal/mol of atoms

a = 7.298 Å, b = 7.884 Å, c = 7.884 Å
α = 69.07°, β = 72.03°, γ = 107.97°
Sites, in units of the cell vectors:
Ag 0.898 0.638 0.945
Ag 0.157 0.055 0.583
Ag 0.467 0.153 0.741
Ag 0.314 0.105 0.153
Ag 0.533 0.847 0.259
Ag 0.792 0.259 0.895
Ag 0.102 0.362 0.055
Ag 0.686 0.895 0.847
Ag 0.208 0.741 0.105
Ag 0.260 0.417 0.638
Ag 0.740 0.583 0.362
Ag 0.843 0.945 0.417
Cd 0.424 0.480 0.212
Cd 0.576 0.520 0.788
Cd 0.636 0.212 0.308
Cd 0.364 0.788 0.692
Cd 0.944 0.308 0.480
Cd 0.056 0.692 0.520
Li 0.000 0.000 0.000


Record 4
A relaxed SmHoInCo crystal. Source: the Alexandria database, functional GGA-PBE.

Computed properties:
* Fermi-level density of states: 0.543 states/eV per atom
* size of the total moment: 1.2 μB/f.u.
* SG: F-43m
* energy relative to the elements: -3.91 kcal/mol of atoms

a = 5.132 Å, b = 5.132 Å, c = 5.132 Å
α = 60.00°, β = 60.00°, γ = 60.00°
Sites, in units of the cell vectors:
Co 0.250 0.250 0.250
In 0.750 0.750 0.750
Ho 0.000 0.000 0.000
Sm 0.500 0.500 0.500


Record 5
A relaxed Rb2I6NO crystal. Source: the Alexandria database, functional GGA-PBE.

Computed properties:
* Fermi-level density of states: 0.624 states/eV per atom
* formation energy (no corrections): -0.078 eV/atom
* size of the total moment: 1.0 μB/f.u.
* SG: I4/mmm

a = 8.743 Å, b = 8.743 Å, c = 7.689 Å
α = 55.35°, β = 55.35°, γ = 90.00°
Sites, in units of the cell vectors:
Rb 0.750 0.250 0.500
Rb 0.250 0.750 0.500
I 0.777 0.777 0.446
I 0.290 0.290 0.000
I 0.710 0.710 0.000
I 0.290 0.710 0.000
I 0.710 0.290 0.000
I 0.223 0.223 0.554
O 0.000 0.000 0.000
N 0.500 0.500 0.000


Record 6
A relaxed KDy3B4O12 crystal. Source: the Alexandria database, functional GGA-PBE.

Computed properties:
* Fermi-level density of states: 0.396 states/eV per atom
* formation energy (no corrections): -2.707 eV/atom
* size of the total moment: 2.0 μB/f.u.
* SG: R32

a = 6.666 Å, b = 6.666 Å, c = 6.666 Å
α = 101.45°, β = 101.45°, γ = 101.45°
Sites, in units of the cell vectors:
O 0.093 0.907 0.500
O 0.987 0.204 0.403
O 0.204 0.403 0.987
O 0.500 0.365 0.635
O 0.365 0.635 0.500
O 0.500 0.093 0.907
O 0.796 0.013 0.597
O 0.635 0.500 0.365
O 0.907 0.500 0.093
O 0.403 0.987 0.204
O 0.013 0.597 0.796
O 0.597 0.796 0.013
Dy 0.000 0.546 0.454
Dy 0.454 0.000 0.546
Dy 0.546 0.454 0.000
B 0.041 0.500 0.959
B 0.500 0.959 0.041
B 0.500 0.500 0.500
B 0.959 0.041 0.500
K 0.000 0.000 0.000


Record 7
A relaxed KGaH crystal. Source: the Alexandria database, functional GGA-PBE.

Computed properties:
* Fermi-level density of states: 0.113 states/eV per atom
* size of the total moment: 0.0 μB/f.u.
* ΔE to the lowest computed polymorph: 0.27 eV/f.u.
* SG: R3m

a = 4.728 Å, b = 4.728 Å, c = 20.344 Å
α = 90.00°, β = 90.00°, γ = 120.00°
Sites, in units of the cell vectors:
Ga 0.000 0.000 0.523
Ga 0.667 0.333 0.214
Ga 0.333 0.667 0.547
Ga 0.333 0.667 0.190
Ga 0.000 0.000 0.881
Ga 0.667 0.333 0.856
K 0.667 0.333 0.622
K 0.667 0.333 0.067
K 0.000 0.000 0.289
K 0.000 0.000 0.734
K 0.333 0.667 0.956
K 0.333 0.667 0.401
H 0.667 0.333 0.770
H 0.333 0.667 0.103
H 0.667 0.333 0.302
H 0.000 0.000 0.437
H 0.000 0.000 0.968
H 0.333 0.667 0.635


Record 8
A relaxed LaCr2Hg crystal. Source: the Alexandria database, functional GGA-PBE.

Computed properties:
* Fermi-level density of states: 0.897 states/eV per atom
* size of the total moment: 7.7 μB/f.u.
* SG: P4/mmm
* energy relative to the elements: 11.91 kcal/mol of atoms

a = 3.557 Å, b = 3.557 Å, c = 7.141 Å
α = 90.00°, β = 90.00°, γ = 90.02°
Sites, in units of the cell vectors:
Hg 0.500 0.500 0.250
La 0.500 0.500 0.750
Cr 0.000 0.000 0.458
Cr 0.000 0.000 0.042


Record 9
A relaxed Sr4BiI4 crystal. Source: the Alexandria database, functional GGA-PBE.

Computed properties:
* Fermi-level density of states: 0.398 states/eV per atom
* formation energy (no corrections): -1.369 eV/atom
* size of the total moment: 0.0 μB/f.u.
* SG: C2/m

a = 4.835 Å, b = 8.243 Å, c = 10.649 Å
α = 75.06°, β = 76.88°, γ = 72.95°
Sites, in units of the cell vectors:
Sr 0.693 0.904 0.710
Sr 0.093 0.720 0.095
Sr 0.907 0.280 0.905
Sr 0.307 0.096 0.290
I 0.107 0.192 0.593
I 0.305 0.595 0.795
I 0.893 0.808 0.407
I 0.695 0.405 0.205
Bi 0.500 0.000 0.000


Record 10
A relaxed Na2NbFeH crystal. Source: the Alexandria database, functional GGA-PBE.

Computed properties:
* total DFT energy (no corrections): -17.732 eV/f.u.
* Fermi-level density of states: 1.640 states/eV per atom
* size of the total moment: 5.2 μB/f.u.
* SG: P4/mmm

a = 5.795 Å, b = 3.388 Å, c = 5.795 Å
α = 90.00°, β = 90.00°, γ = 90.00°
Sites, in units of the cell vectors:
H 0.000 0.500 0.000
Fe 0.500 0.500 0.500
Na 0.500 0.000 0.000
Na 0.000 0.000 0.500
Nb 0.000 0.000 0.000


Record 11
A relaxed KTlVSe4 crystal. Source: the Alexandria database, functional GGA-PBE.

Computed properties:
* Fermi-level density of states: 0.448 states/eV per atom
* formation energy (no corrections): -0.651 eV/atom
* size of the total moment: 0.0 μB/f.u.
* SG: P2_1/m

a = 6.991 Å, b = 5.892 Å, c = 11.943 Å
α = 90.00°, β = 98.87°, γ = 90.00°
Sites, in units of the cell vectors:
Se 0.252 0.750 0.450
Se 0.575 0.250 0.839
Se 0.937 0.019 0.192
Se 0.425 0.750 0.161
Se 0.063 0.519 0.808
Se 0.748 0.250 0.550
Se 0.063 0.981 0.808
Se 0.937 0.481 0.192
K 0.731 0.750 0.414
K 0.269 0.250 0.586
Tl 0.269 0.250 0.046
Tl 0.731 0.750 0.954
V 0.830 0.250 0.742
V 0.170 0.750 0.258


Record 12
A relaxed CePuNiHg crystal. Source: the Alexandria database, functional GGA-PBE.

Computed properties:
* Fermi-level density of states: 1.421 states/eV per atom
* size of the total moment: 6.1 μB/f.u.
* SG: F-43m
* energy relative to the elements: -4.01 kcal/mol of atoms

a = 4.878 Å, b = 4.878 Å, c = 4.878 Å
α = 60.00°, β = 60.00°, γ = 60.00°
Sites, in units of the cell vectors:
Hg 0.750 0.750 0.750
Ce 0.250 0.250 0.250
Pu 0.500 0.500 0.500
Ni 0.000 0.000 0.000


Record 13
A relaxed Zn6CdGa8 crystal. Source: the Alexandria database, functional GGA-PBE.

Computed properties:
* Fermi-level density of states: 0.358 states/eV per atom
* size of the total moment: 0.0 μB/f.u.
* SG: R-3
* energy relative to the elements: 1.26 kcal/mol of atoms

a = 6.704 Å, b = 6.704 Å, c = 6.704 Å
α = 75.31°, β = 75.31°, γ = 75.31°
Sites, in units of the cell vectors:
Zn 0.568 0.173 0.358
Zn 0.432 0.827 0.642
Zn 0.827 0.642 0.432
Zn 0.358 0.568 0.173
Zn 0.173 0.358 0.568
Zn 0.642 0.432 0.827
Ga 0.138 0.807 0.450
Ga 0.550 0.862 0.193
Ga 0.807 0.450 0.138
Ga 0.210 0.210 0.210
Ga 0.450 0.138 0.807
Ga 0.862 0.193 0.550
Ga 0.193 0.550 0.862
Ga 0.790 0.790 0.790
Cd 0.000 0.000 0.000


Record 14
A relaxed PuPaCrGa crystal. Source: the Alexandria database, functional GGA-PBE.

Computed properties:
* Fermi-level density of states: 1.112 states/eV per atom
* size of the total moment: 4.0 μB/f.u.
* SG: F-43m
* energy relative to the elements: -1.83 kcal/mol of atoms

a = 4.755 Å, b = 4.755 Å, c = 4.755 Å
α = 60.00°, β = 60.00°, γ = 60.00°
Sites, in units of the cell vectors:
Pu 0.500 0.500 0.500
Pa 0.750 0.750 0.750
Cr 0.000 0.000 0.000
Ga 0.250 0.250 0.250


Record 15
A relaxed YCrBr crystal. Source: the Alexandria database, functional GGA-PBE.

Computed properties:
* Fermi-level density of states: 0.906 states/eV per atom
* formation energy (no corrections): 0.453 eV/atom
* size of the total moment: 5.7 μB/f.u.
* SG: F-43m

a = 5.052 Å, b = 5.052 Å, c = 5.052 Å
α = 60.00°, β = 60.00°, γ = 60.00°
Sites, in units of the cell vectors:
Cr 0.500 0.500 0.500
Y 0.750 0.750 0.750
Br 0.000 0.000 0.000


Record 16
A relaxed AcNd3N4 crystal. Source: the Alexandria database, functional GGA-PBE.

Computed properties:
* Fermi-level density of states: 0.301 states/eV per atom
* formation energy (no corrections): -1.240 eV/atom
* size of the total moment: 0.0 μB/f.u.
* SG: Pm-3m

a = 5.262 Å, b = 5.262 Å, c = 5.262 Å
α = 90.00°, β = 90.00°, γ = 90.00°
Sites, in units of the cell vectors:
Ac 0.000 0.000 0.000
Nd 0.000 0.500 0.500
Nd 0.500 0.500 0.000
Nd 0.500 0.000 0.500
N 0.500 0.500 0.500
N 0.000 0.000 0.500
N 0.500 0.000 0.000
N 0.000 0.500 0.000


Record 17
A relaxed Sr2TaCl crystal. Source: the Alexandria database, functional GGA-PBE.

Computed properties:
* Fermi-level density of states: 0.805 states/eV per atom
* formation energy (no corrections): 0.772 eV/atom
* size of the total moment: 4.4 μB/f.u.
* ΔE to the lowest computed polymorph: 3.79 eV/f.u.
* SG: F-43m

a = 5.694 Å, b = 5.694 Å, c = 5.694 Å
α = 60.00°, β = 60.00°, γ = 60.00°
Sites, in units of the cell vectors:
Sr 0.250 0.250 0.250
Sr 0.000 0.000 0.000
Cl 0.500 0.500 0.500
Ta 0.750 0.750 0.750


Record 18
A relaxed Dy2YEr3Sb6 crystal. Source: the Alexandria database, functional GGA-PBE.

Computed properties:
* Fermi-level density of states: 0.160 states/eV per atom
* formation energy (no corrections): -1.119 eV/atom
* size of the total moment: 0.0 μB/f.u.
* SG: C2/m

a = 4.370 Å, b = 8.741 Å, c = 9.771 Å
α = 102.88°, β = 102.92°, γ = 90.00°
Sites, in units of the cell vectors:
Y 0.500 0.000 0.000
Er 0.833 0.167 0.667
Er 0.500 0.500 0.000
Er 0.167 0.833 0.333
Sb 0.333 0.918 0.665
Sb 0.667 0.082 0.335
Sb 0.000 0.252 0.999
Sb 0.666 0.585 0.332
Sb 0.000 0.748 0.001
Sb 0.334 0.415 0.668
Dy 0.167 0.333 0.333
Dy 0.833 0.667 0.667


Record 19
A relaxed PaAg2Se3 crystal. Source: the Alexandria database, functional GGA-PBE.

Computed properties:
* Fermi-level density of states: 0.623 states/eV per atom
* formation energy (no corrections): -0.665 eV/atom
* size of the total moment: 1.0 μB/f.u.
* SG: C2/m

a = 4.210 Å, b = 7.852 Å, c = 9.624 Å
α = 107.35°, β = 90.00°, γ = 105.55°
Sites, in units of the cell vectors:
Se 0.969 0.938 0.188
Se 0.633 0.265 0.516
Se 0.031 0.062 0.812
Se 0.307 0.615 0.880
Se 0.693 0.385 0.120
Se 0.367 0.735 0.484
Ag 0.841 0.682 0.717
Ag 0.159 0.318 0.283
Ag 0.331 0.662 0.189
Ag 0.669 0.338 0.811
Pa 0.000 0.000 0.500
Pa 0.500 0.000 0.000


Record 20
A relaxed Pu2CdSb crystal. Source: the Alexandria database, functional GGA-PBE.

Computed properties:
* Fermi-level density of states: 3.989 states/eV per atom
* formation energy (no corrections): -0.056 eV/atom
* size of the total moment: 12.4 μB/f.u.
* ΔE to the lowest computed polymorph: 1.11 eV/f.u.
* SG: R-3m

a = 3.431 Å, b = 3.431 Å, c = 10.835 Å
α = 80.89°, β = 80.89°, γ = 60.00°
Sites, in units of the cell vectors:
Pu 0.753 0.753 0.741
Pu 0.247 0.247 0.259
Cd 0.000 0.000 0.000
Sb 0.500 0.500 0.500


Record 21
A relaxed Rb3PPd2 crystal. Source: the Alexandria database, functional GGA-PBE.

Computed properties:
* Fermi-level density of states: 0.297 states/eV per atom
* size of the total moment: 0.0 μB/f.u.
* SG: P2_1/c
* energy relative to the elements: -4.18 kcal/mol of atoms

a = 9.592 Å, b = 7.831 Å, c = 13.288 Å
α = 90.00°, β = 118.50°, γ = 90.00°
Sites, in units of the cell vectors:
Rb 0.007 0.934 0.340
Rb 0.507 0.566 0.840
Rb 0.227 0.377 0.530
Rb 0.993 0.066 0.660
Rb 0.535 0.201 0.439
Rb 0.035 0.299 0.939
Rb 0.465 0.799 0.561
Rb 0.965 0.701 0.061
Rb 0.273 0.877 0.970
Rb 0.727 0.123 0.030
Rb 0.773 0.623 0.470
Rb 0.493 0.434 0.160
Pd 0.417 0.082 0.748
Pd 0.713 0.441 0.707
Pd 0.583 0.918 0.252
Pd 0.787 0.941 0.793
Pd 0.083 0.582 0.752
Pd 0.213 0.059 0.207
Pd 0.917 0.418 0.248
Pd 0.287 0.559 0.293
P 0.630 0.182 0.739
P 0.130 0.318 0.239
P 0.870 0.682 0.761
P 0.370 0.818 0.261


Record 22
A relaxed HfAl7Cu5 crystal. Source: the Alexandria database, functional GGA-PBE.

Computed properties:
* Fermi-level density of states: 0.332 states/eV per atom
* size of the total moment: 0.0 μB/f.u.
* SG: Imm2
* energy relative to the elements: -6.36 kcal/mol of atoms

a = 5.066 Å, b = 6.595 Å, c = 6.595 Å
α = 82.06°, β = 67.42°, γ = 67.42°
Sites, in units of the cell vectors:
Al 0.647 0.353 0.353
Al 0.509 0.184 0.799
Al 0.509 0.799 0.184
Al 0.994 0.349 0.662
Al 0.994 0.662 0.349
Al 0.273 0.227 0.227
Al 0.338 0.662 0.662
Cu 0.004 0.493 0.002
Cu 0.501 0.002 0.493
Cu 0.733 0.767 0.767
Cu 0.004 0.002 0.493
Cu 0.501 0.493 0.002
Hf 0.993 0.007 0.007